Entry from the Alexandria database: crystalline Na2Pt at its relaxed geometry (PBE).

a = 11.0193 Å, b = 2.9004 Å, c = 9.7274 Å
α = 90.00°, β = 112.79°, γ = 90.00°
Closest atoms and distances in Å follow each position.
Space group C2/m (No. 12)
One atom of each set of equivalent atoms:
Na  0.0018  0.0000  0.1589 [4 per cell]  3 Na 2.90-3.08, 5 Pt 2.95-3.08
Na  0.1695  0.5000  0.6210 [4 per cell]  2 Na 2.90, 2 Pt 2.93
Pt  0.2178  0.5000  0.0963 [4 per cell]  4 Pt 2.67-2.90, 3 Na 2.93-2.95

Computed properties:
* energy of formation from the pure elements: -0.086 eV per atom
* size of the total moment: 0.0 μB/f.u.
* crystal system: monoclinic